An optimized crystal structure of Ca2ScCoO6, computed with PBE with a Hubbard U.

SG: P2_1/c
Density of states at the Fermi level, states/eV/cell: 1.34
Total energy, eV per atom: -6.775
Magnetization, μB/f.u.: 2.07

Lattice parameters (Å, degrees): 5.407 5.493 7.721 90.00 90.26 90.00
Sites, in units of the cell vectors:
Ca (0.011, 0.953, 0.251)
Ca (0.511, 0.547, 0.751)
Ca (0.989, 0.047, 0.749)
Ca (0.489, 0.453, 0.249)
Sc (0.500, 0.000, 0.000)
Sc (0.000, 0.500, 0.500)
Co (0.500, 0.000, 0.500)
Co (0.000, 0.500, 0.000)
O (0.280, 0.698, 0.042)
O (0.780, 0.802, 0.542)
O (0.720, 0.302, 0.958)
O (0.220, 0.198, 0.458)
O (0.312, 0.725, 0.458)
O (0.812, 0.775, 0.958)
O (0.688, 0.275, 0.542)
O (0.188, 0.225, 0.042)
O (0.920, 0.522, 0.238)
O (0.420, 0.978, 0.738)
O (0.080, 0.478, 0.762)
O (0.580, 0.022, 0.262)